No. 1
DFT (GGA-PBE) results for crystalline Tb2Al6B4Au at its relaxed geometry.

```
13
Lattice="3.2605 -1.8824 0.0000 3.2605 1.8824 0.0000 -2.1723 0.0000 16.7390" Properties=species:S:1:pos:R:3 pbc="T T T"
B 0.0006 0.0000 6.9147
B 4.3475 0.0000 3.5172
Tb 2.1740 0.0000 5.2716
Al 4.3485 0.0000 13.6735
Al 4.3479 0.0000 7.5139
Al 0.0014 0.0000 15.3603
Al 4.3473 0.0000 1.3787
B 4.3481 0.0000 9.8243
Tb 2.1747 0.0000 11.4673
Au 0.0000 0.0000 0.0000
B 0.0011 0.0000 13.2218
Al 0.0008 0.0000 9.2251
Al 0.0002 0.0000 3.0654
```

## Properties
- Final energy: -5.03 eV/atom
- Space group: No. 166
- Total magnetic moment: 0.02 μB/cell

No. 2
DFT (GGA-PBE) results for crystalline ZnTeAs2 at its relaxed geometry.

```
4
Lattice="-4.3585 -0.7802 2.0970 -3.8556 2.7432 -1.2699 -3.6544 -1.9667 -2.6039" Properties=species:S:1:pos:R:3 pbc="T T T"
Zn -5.9342 -0.0018 -0.8884
As 0.0000 0.0000 0.0000
As -2.9671 -0.0009 -0.4442
Te -8.9014 -0.0028 -1.3326
```

## Properties
- Final energy: -3.04 eV/atom
- Space group: No. 216

No. 3
DFT (GGA-PBE) results for crystalline Pr2Cd at its relaxed geometry.

```
6
Lattice="0.0000 4.5802 4.5802 4.5802 0.0000 4.5802 4.5802 4.5802 0.0000" Properties=species:S:1:pos:R:3 pbc="T T T"
Cd 0.0000 0.0000 0.0000
Cd 2.2901 2.2901 2.2901
Pr 5.7253 3.4352 3.4352
Pr 3.4352 3.4352 5.7253
Pr 3.4352 5.7253 3.4352
Pr 5.7253 5.7253 5.7253
```

## Properties
- Final energy: -3.24 eV/atom
- Space group: No. 227
- Total magnetic moment: 0.87 μB/cell

No. 4
DFT (GGA-PBE) results for crystalline HfZn2FePt4 at its relaxed geometry.

```
8
Lattice="4.1879 0.0000 0.0000 0.0000 4.1879 0.0000 0.0000 0.0000 6.8427" Properties=species:S:1:pos:R:3 pbc="T T T"
Pt 2.0940 0.0000 1.6314
Zn 0.0000 0.0000 3.4213
Pt 0.0000 2.0940 5.2112
Fe 0.0000 0.0000 0.0000
Pt 0.0000 2.0940 1.6314
Zn 2.0940 2.0940 0.0000
Hf 2.0940 2.0940 3.4213
Pt 2.0940 0.0000 5.2112
```

## Properties
- Final energy: -6.24 eV/atom
- Space group: No. 123
- Total magnetic moment: 2.50 μB/cell

No. 5
DFT (GGA-PBE) results for crystalline B4IrW at its relaxed geometry.

```
6
Lattice="-1.5029 2.5309 3.5890 1.5029 -2.5309 3.5890 1.5029 2.5309 -3.5890" Properties=species:S:1:pos:R:3 pbc="T T T"
B 1.5029 -0.8933 1.8912
Ir 0.0000 0.0000 0.0000
B 0.0000 1.6376 1.6978
B 1.5029 0.8933 1.8912
W 0.0000 0.0000 3.5890
B 0.0000 3.4242 1.6978
```

## Properties
- Space group: No. 71
- Total magnetic moment: 0.01 μB/cell
- ΔE to the lowest computed polymorph: 0.29 eV per formula unit

No. 6
DFT (GGA-PBE) results for crystalline Dy5Al at its relaxed geometry.

```
6
Lattice="-5.9463 1.4943 1.3120 3.1357 -3.9483 3.7270 1.8033 4.4079 3.1525" Properties=species:S:1:pos:R:3 pbc="T T T"
Dy -2.0715 2.9511 2.2323
Dy -0.5036 0.9769 4.0957
Dy -2.9189 -0.3199 2.1170
Al 0.0000 0.0000 0.0000
Dy 2.4695 0.2298 3.4397
Dy 0.1084 -2.1341 2.9220
```

## Properties
- Final energy: -3.91 eV/atom
- Space group: No. 191
- Total magnetic moment: 0.19 μB/cell

No. 7
DFT (GGA-PBE) results for crystalline YMgZrCo at its relaxed geometry.

```
4
Lattice="2.2336 -0.5092 4.1911 0.4711 3.7459 2.9257 -2.4915 0.1787 4.0711" Properties=species:S:1:pos:R:3 pbc="T T T"
Co 0.0000 0.0000 0.0000
Y 0.1066 1.7077 5.5940
Zr 0.0533 0.8538 2.7970
Mg 0.1599 2.5615 8.3910
```

## Properties
- Space group: No. 216
- Total magnetic moment: 0.00 μB/cell
- ΔE to the lowest computed polymorph: 0.56 eV per formula unit

No. 8
DFT (GGA-PBE) results for crystalline Tl2AgB at its relaxed geometry.

```
4
Lattice="0.0000 3.5208 3.5208 3.5208 0.0000 3.5208 3.5208 3.5208 0.0000" Properties=species:S:1:pos:R:3 pbc="T T T"
Ag 5.2813 5.2813 5.2813
Tl 1.7604 1.7604 1.7604
Tl 3.5208 3.5208 3.5208
B 0.0000 0.0000 0.0000
```

## Properties
- Final energy: -2.48 eV/atom
- Space group: No. 216